# 1
Material: NdPaAg
Method: DFT, GGA-PBE
State: optimized geometry

```
NdPaAg
1.0
0.000 3.567 3.567
3.567 0.000 3.567
3.567 3.567 0.000
Nd Pa Ag
1 1 1
Cartesian
0.000 0.000 0.000
3.567 3.567 3.567
1.783 1.783 1.783
```

Output
E_form = 0.598 eV per atom
energy = -0.187 hartree per atom
ΔE to the lowest computed polymorph = 0.000 kcal/mol of atoms


# 2
Material: NdAgPbSe2S
Method: DFT, GGA-PBE
State: optimized geometry

```
NdAgPbSe2S
1.0
2.106 -6.857 0.000
2.106 6.857 0.000
0.000 0.000 10.685
Nd Ag Pb Se S
2 2 2 4 2
Cartesian
0.000 0.000 0.000
0.000 0.000 5.342
2.106 0.354 8.014
2.106 -0.354 2.671
2.106 3.384 2.671
2.106 -3.384 8.014
2.106 2.029 5.979
2.106 2.029 10.048
2.106 -2.029 0.636
2.106 -2.029 4.706
2.106 5.688 8.014
2.106 -5.688 2.671
```

Output
energy = -0.173 hartree per atom


# 3
Material: NdAgPbSeS2
Method: DFT, GGA-PBE
State: optimized geometry

```
NdAgPbSeS2
1.0
2.056 -6.797 0.000
2.056 6.797 0.000
0.000 0.000 10.972
Nd Ag Pb Se S
2 2 2 2 4
Cartesian
0.000 0.000 0.000
0.000 0.000 5.486
2.056 0.361 8.229
2.056 -0.361 2.743
2.056 3.679 2.743
2.056 -3.679 8.229
2.056 5.430 8.229
2.056 -5.430 2.743
2.056 1.861 6.209
2.056 1.861 10.249
2.056 -1.861 0.723
2.056 -1.861 4.763
```

Output
energy = -0.177 hartree per atom


# 4
Material: NdAgTePbS2
Method: DFT, GGA-PBE
State: optimized geometry

```
NdAgTePbS2
1.0
2.079 -7.110 0.000
2.079 7.110 0.000
0.000 0.000 11.412
Nd Ag Te Pb S
2 2 2 2 4
Cartesian
0.000 0.000 0.000
0.000 0.000 5.706
2.079 0.230 8.559
2.079 -0.230 2.853
2.079 5.456 8.559
2.079 -5.456 2.853
2.079 4.166 2.853
2.079 -4.166 8.559
2.079 1.779 6.546
2.079 1.779 10.573
2.079 -1.779 0.840
2.079 -1.779 4.866
```

Output
energy = -0.172 hartree per atom


# 5
Material: NdAgTe2PbSe
Method: DFT, GGA-PBE
State: optimized geometry

```
NdAgTe2PbSe
1.0
2.198 -7.363 0.000
2.198 7.363 0.000
0.000 0.000 10.963
Nd Ag Te Pb Se
2 2 4 2 2
Cartesian
0.000 0.000 0.000
0.000 0.000 5.482
2.198 0.357 8.223
2.198 -0.357 2.741
2.198 2.231 6.134
2.198 2.231 10.312
2.198 -2.231 0.652
2.198 -2.231 4.830
2.198 3.602 2.741
2.198 -3.602 8.223
2.198 6.114 8.223
2.198 -6.114 2.741
```

Output
energy = -0.159 hartree per atom


# 6
Material: Tb2NdAg4Pb4
Method: DFT, GGA-PBE
State: optimized geometry

```
Tb2NdAg4Pb4
1.0
-2.324 3.778 7.823
2.324 -3.778 7.823
2.324 3.778 -7.823
Tb Nd Ag Pb
2 1 4 4
Cartesian
0.000 0.000 2.009
0.000 0.000 13.637
0.000 3.778 0.000
2.324 2.285 -2.681
2.324 2.285 2.681
0.000 1.493 5.142
0.000 1.493 10.504
2.324 1.496 0.000
2.324 0.000 4.436
0.000 3.778 3.388
0.000 2.282 7.823
```

Output
energy = -0.145 hartree per atom


# 7
Material: TbNdAg2Pb2
Method: DFT, GGA-PBE
State: optimized geometry

```
TbNdAg2Pb2
1.0
4.858 0.000 0.000
-2.429 4.207 0.000
0.000 0.000 7.570
Tb Nd Ag Pb
1 1 2 2
Cartesian
0.000 0.000 0.000
0.000 0.000 3.779
0.000 2.805 5.282
2.429 1.402 1.399
0.000 2.805 2.087
2.429 1.402 5.930
```

Output
energy = -0.154 hartree per atom


# 8
Material: NdAgPd
Method: DFT, GGA-PBE
State: optimized geometry

```
NdAgPd
1.0
0.000 3.341 3.341
3.341 0.000 3.341
3.341 3.341 0.000
Nd Ag Pd
1 1 1
Cartesian
0.000 0.000 0.000
3.341 3.341 3.341
5.011 5.011 5.011
```

Output
E_form = -0.445 eV per atom
energy = -0.173 hartree per atom
ΔE to the lowest computed polymorph = 3.683 kcal/mol of atoms